A plane-wave DFT calculation with PBE was carried out for a relaxed structure of TeSBr3.

Properties
theoretical density: 3.8 g cm⁻³
E_form (uncorrected): 0.4053 eV per atom
total moment: 2.18 μB per cell
DOS(E_F): 1.375 states/eV per atom
energy above the most stable polymorph in this dataset: 659 meV per atom
uncorrected energy: -10.26 eV per cell

abc: 5.6073 5.6073 5.6073
angles: 90.00 90.00 90.00
With the nearest neighbours (Å) after each atom.
Space group Pm-3m (No. 221)
Symmetry-distinct sites (fractional):
Te 0.0000 0.0000 0.0000 x1  6 Br 2.80
S 0.5000 0.5000 0.5000 x1  12 Br 3.96
Br 0.0000 0.0000 0.5000 x3  2 Te 2.80